# 1
CaErSiPd | the Alexandria database | PBE | relaxed; Fermi-level density of states = 0.528 states/eV/atom; total DFT energy (no corrections) = -4.923 eV/atom; formation energy from raw total energies = -0.63 eV per atom; symmetry = F-43m, No. 216
1.0
-1.710 -2.672 3.809
2.669 -0.376 4.161
-1.523 2.271 4.135
Ca Si Pd Er
1 1 1 1
direct
0.500 0.500 0.500
0.750 0.750 0.750
0.250 0.250 0.250
0.000 0.000 0.000

***

# 2
TlSiSb4 | the Alexandria database | PBE | relaxed; Fermi-level density of states = 0.411 states/eV/atom; total DFT energy (no corrections) = -3.569 eV/atom; formation energy from raw total energies = 0.48 eV per atom; symmetry = F-43m, No. 216
1.0
-2.146 -3.572 4.687
1.206 1.576 5.950
-4.619 2.104 3.685
Tl Si Sb
1 1 4
direct
0.000 0.000 0.000
0.750 0.750 0.750
0.872 0.376 0.376
0.376 0.376 0.872
0.376 0.872 0.376
0.376 0.376 0.376

***

# 3
MnBeRe2 | the Alexandria database | PBE | relaxed; Fermi-level density of states = 0.708 states/eV/atom; total DFT energy (no corrections) = -9.249 eV/atom; energy relative to the elements = 0.199 eV per atom; symmetry = R3m, No. 160
1.0
-3.456 7.561 -0.405
-5.165 6.391 1.323
-2.872 7.487 2.228
Re Mn Be
2 1 1
direct
0.004 0.004 0.004
0.245 0.245 0.245
0.755 0.755 0.755
0.496 0.496 0.496

***

# 4
ZnPOsO2 | the Alexandria database | PBE | relaxed; Fermi-level density of states = 0.687 states/eV/atom; ΔE to the lowest computed polymorph = 0 meV per atom; total DFT energy (no corrections) = -5.961 eV/atom; formation energy from raw total energies = -0.40 eV per atom; symmetry = P4/mmm, No. 123
1.0
-1.691 -1.985 2.680
0.057 -3.021 -2.202
4.741 -1.358 1.985
P Zn Os O
1 1 1 2
direct
0.000 0.000 0.500
0.500 0.500 0.500
0.000 0.000 0.000
0.000 0.500 0.000
0.500 0.000 0.000